Here is a relaxed structure of AsBrF2 from the Alexandria database. Energies are from PBE-GGA.

Summary:
formation energy (no corrections) = -0.422 eV/atom
calculated volume = 58 Å³/cell
raw total energy = -2.94 eV/atom
energy above the lowest structure with this stoichiometry = 1128 meV per atom

Lattice parameters (Å, degrees): 4.3441 4.3441 4.3441 60.00 60.00 60.00
Closest atoms and distances in Å follow each position.
Sites, in units of the cell vectors:
F1 0.2500 0.2500 0.2500  4 Br 2.66, 4 As 2.66
F2 0.7500 0.7500 0.7500  4 As 2.66, 4 Br 2.66
As1 0.0000 0.0000 0.0000  8 F 2.66
Br1 0.5000 0.5000 0.5000  8 F 2.66